! PBE BiPbNO2, optimized geometry; values from VASP
! - total energy (eV/atom) = -4.966
! - symmetry = P4/mmm (123)
! - V (Å³/cell) = 81.6
&SYSTEM
  ibrav = 0, nat = 5, ntyp = 4
/
ATOMIC_SPECIES
Pb 207.20 Pb.upf
Bi 208.98 Bi.upf
O 16.00 O.upf
N 14.01 N.upf
CELL_PARAMETERS angstrom
4.263 0.000 0.000
0.000 4.263 0.000
0.000 0.000 4.492
ATOMIC_POSITIONS crystal
Pb 0.000 0.000 0.000
Bi 0.500 0.500 0.500
O 0.000 0.500 0.000
O 0.500 0.000 0.000
N 0.000 0.000 0.500

! PBE BiPdNO2, optimized geometry; values from VASP
! - total energy (eV/atom) = -5.244
! - symmetry = P4/mmm (123)
! - V (Å³/cell) = 65.0
&SYSTEM
  ibrav = 0, nat = 5, ntyp = 4
/
ATOMIC_SPECIES
O 16.00 O.upf
Bi 208.98 Bi.upf
Pd 106.42 Pd.upf
N 14.01 N.upf
CELL_PARAMETERS angstrom
-3.816 0.239 1.371
-0.634 -3.860 -1.094
1.202 -1.205 3.554
ATOMIC_POSITIONS crystal
O 0.000 0.500 0.000
O 0.500 0.000 0.000
Bi 0.500 0.500 0.500
Pd 0.000 0.000 0.000
N 0.000 0.000 0.500

! PBE BiPdNO2, optimized geometry; values from VASP
! - total energy (eV/atom) = -4.724
! - symmetry = P4/mmm (123)
! - V (Å³/cell) = 77.7
&SYSTEM
  ibrav = 0, nat = 5, ntyp = 4
/
ATOMIC_SPECIES
O 16.00 O.upf
Bi 208.98 Bi.upf
Pd 106.42 Pd.upf
N 14.01 N.upf
CELL_PARAMETERS angstrom
-4.115 -0.313 0.796
-0.430 -2.623 -3.255
0.773 -3.420 2.653
ATOMIC_POSITIONS crystal
O 0.000 0.500 0.000
O 0.500 0.000 0.000
Bi 0.000 0.000 0.000
Pd 0.500 0.500 0.500
N 0.000 0.000 0.500

> Which of these has the lowest V?

number 2